# 1
Density functional theory data (PBE-GGA) for a relaxed structure of Ho6SnTe2Se3.

```
Ho6SnTe2Se3
1.0
7.274 0.006 0.003
-3.630 6.303 0.003
-1.213 -2.100 6.909
Ho Sn Te Se
6 1 2 3
Cartesian
3.603 2.182 5.032
2.476 4.287 1.901
-1.172 2.026 1.884
0.090 4.212 5.032
-0.045 -0.078 5.015
2.341 -0.003 1.884
0.000 0.000 0.000
0.013 4.199 0.003
3.630 2.110 0.003
-2.370 4.175 3.458
4.801 0.034 3.458
1.215 2.104 3.458
```

Properties
* density of states at the Fermi level: 5.62 states/eV/f.u.
* magnetic moment: 0.000 μB/f.u.
* raw formation energy: -1.421 eV per atom
* space group: No. 12

---

# 2
Density functional theory data (PBE-GGA) for a relaxed structure of Zr2TiH8.

```
Zr2TiH8
1.0
-1.943 2.600 0.006
-0.957 -0.705 -4.609
-2.702 -4.054 3.616
Zr Ti H
2 1 8
Cartesian
-3.787 -0.806 0.821
-1.815 -1.353 -1.808
-0.972 1.300 0.003
-3.597 -2.689 0.322
-3.055 -0.250 -3.157
-3.691 -0.730 -1.162
-4.803 -1.569 2.555
-1.911 -1.429 0.175
-2.548 -1.909 2.170
-2.006 0.530 -1.309
-0.800 -0.590 -3.542
```

Properties
* density of states at the Fermi level: 3.83 states/eV/f.u.
* magnetic moment: 0.004 μB/f.u.
* energy relative to the lowest polymorph listed for this composition: 13 meV per atom
* space group: No. 12

---

# 3
Density functional theory data (PBE-GGA) for a relaxed structure of KRb2NaAu.

```
KRb2NaAu
1.0
-3.393 -5.325 2.713
4.764 -0.526 4.925
-3.134 3.745 3.431
Na K Au Rb
1 1 1 2
Cartesian
-1.567 1.873 1.716
-0.881 -1.053 5.535
0.000 0.000 0.000
2.382 -0.263 2.462
-1.696 -2.662 1.357
```

Properties
* density of states at the Fermi level: 2.67 states/eV/f.u.
* magnetic moment: 0.106 μB/f.u.
* ΔH_f (0 K): -0.09 eV/atom
* energy relative to the lowest polymorph listed for this composition: 0 meV per atom
* space group: No. 123

---

# 4
Density functional theory data (PBE-GGA) for a relaxed structure of Sm4CoBi2.

```
Sm4CoBi2
1.0
6.762 0.000 -0.383
0.000 6.747 0.000
-2.919 0.000 9.231
Sm Co Bi
8 2 4
Cartesian
2.491 3.361 2.036
-2.017 5.060 8.184
5.860 1.687 0.664
2.491 0.012 2.036
4.253 1.687 5.065
1.353 6.735 6.811
1.353 3.385 6.811
-0.409 5.060 3.782
0.575 5.060 1.493
3.269 1.687 7.355
4.767 5.060 0.357
-0.923 1.687 8.491
0.507 1.687 4.062
3.337 5.060 4.785
```

Properties
* density of states at the Fermi level: 3.97 states/eV/f.u.
* magnetic moment: 0.000 μB/f.u.
* ΔH_f (0 K): -0.47 eV/atom
* energy relative to the lowest polymorph listed for this composition: 29 meV per atom
* space group: No. 11

---

# 5
Density functional theory data (PBE-GGA) for a relaxed structure of Sm5Te5N2.

```
Sm5Te5N2
1.0
4.071 0.000 0.000
-2.035 7.217 0.553
0.000 -2.509 10.784
Sm Te N
5 5 2
Cartesian
0.000 0.527 3.659
2.035 -0.107 8.614
0.000 4.814 2.723
2.035 4.181 7.678
0.000 0.000 0.000
2.035 -1.255 5.392
2.035 2.072 1.142
2.035 2.855 4.433
0.000 1.852 6.904
0.000 2.635 10.195
0.000 -1.351 8.675
2.035 6.059 2.662
```

Properties
* density of states at the Fermi level: 2.98 states/eV/f.u.
* magnetic moment: 0.000 μB/f.u.
* raw formation energy: -1.333 eV per atom
* space group: No. 12

---

# 6
Density functional theory data (PBE-GGA) for a relaxed structure of BaPr2TmO5.

```
BaPr2TmO5
1.0
4.201 0.000 0.000
0.000 6.117 0.000
-2.101 -3.058 6.021
Ba Pr Tm O
1 2 1 5
Cartesian
0.000 3.058 0.000
0.000 0.000 2.605
2.101 3.058 3.416
2.101 0.000 0.000
2.101 4.669 1.720
0.000 -1.610 4.301
0.000 1.610 4.301
2.101 1.448 1.720
0.000 0.000 0.000
```

Properties
* density of states at the Fermi level: 2.26 states/eV/f.u.
* magnetic moment: 0.250 μB/f.u.
* raw formation energy: -3.037 eV per atom
* space group: No. 71

---

# 7
Density functional theory data (PBE-GGA) for a relaxed structure of Ba4Ag3Sn.

```
Ba4Ag3Sn
1.0
-4.014 2.217 -1.876
1.380 -1.381 -4.585
-6.383 -10.504 1.244
Ba Ag Sn
4 3 1
Cartesian
-3.611 -3.358 -2.783
-4.798 -9.722 -1.223
-0.883 -1.453 0.172
-6.085 -5.603 -0.143
-2.915 -6.623 -1.590
-2.788 -4.588 0.543
-7.978 -8.718 0.226
-1.741 -0.281 -3.148
```

Properties
* density of states at the Fermi level: 5.73 states/eV/f.u.
* magnetic moment: 0.000 μB/f.u.
* ΔH_f (0 K): -0.35 eV/atom
* space group: No. 25

---

# 8
Density functional theory data (PBE-GGA) for a relaxed structure of NdDy7Y12.

```
NdDy7Y12
1.0
8.616 0.740 1.111
-1.684 8.482 1.111
-1.684 -2.241 8.255
Nd Dy Y
1 7 12
Cartesian
0.000 0.000 0.000
5.163 3.972 9.846
2.867 0.230 1.090
-0.576 -0.080 3.020
2.623 3.490 5.239
5.823 7.061 7.458
2.380 6.751 9.389
0.084 3.009 0.632
5.427 1.191 6.820
5.612 2.823 2.735
3.164 0.672 4.114
5.481 4.427 5.917
1.151 0.145 6.753
2.728 2.958 8.274
2.519 4.023 2.204
4.096 6.836 3.726
-0.234 2.554 4.562
2.083 6.309 6.364
-0.365 4.158 7.743
-0.181 5.790 3.658
```

Properties
* density of states at the Fermi level: 18.51 states/eV/f.u.
* magnetic moment: 0.000 μB/f.u.
* ΔH_f (0 K): 0.29 eV/atom
* energy relative to the lowest polymorph listed for this composition: 0 meV per atom
* space group: No. 148

---

# 9
Density functional theory data (PBE-GGA) for a relaxed structure of SrCd2BF.

```
SrCd2BF
1.0
-4.285 5.016 -0.173
-3.059 -2.679 -1.891
-2.219 -1.689 5.981
Sr B F Cd
1 1 1 2
Cartesian
0.000 0.000 0.000
-4.781 0.324 1.958
-1.529 -1.339 -0.946
-1.109 -0.844 2.991
-2.143 2.508 -0.087
```

Properties
* density of states at the Fermi level: 4.22 states/eV/f.u.
* magnetic moment: 1.542 μB/f.u.
* energy relative to the lowest polymorph listed for this composition: 81 meV per atom
* raw formation energy: 0.266 eV per atom
* space group: No. 123

---

# 10
Density functional theory data (PBE-GGA) for a relaxed structure of Pr8Dy3Y.

```
Pr8Dy3Y
1.0
7.723 -0.534 -3.694
-4.525 7.193 -1.167
-0.336 0.534 8.554
Pr Dy Y
8 3 1
Cartesian
2.649 1.686 0.014
0.195 5.535 3.708
-3.464 5.507 1.260
-1.379 2.191 6.100
0.101 2.775 1.857
5.178 0.577 -1.837
-3.115 4.952 6.745
-4.162 6.616 4.316
0.384 5.261 -0.583
2.478 1.932 4.277
-2.430 3.863 3.694
0.000 0.000 0.000
```

Properties
* density of states at the Fermi level: 19.83 states/eV/f.u.
* magnetic moment: 0.000 μB/f.u.
* ΔH_f (0 K): 0.57 eV/atom
* space group: No. 121

---

# 11
Density functional theory data (PBE-GGA) for a relaxed structure of La2BeGa4Au3.

```
La2BeGa4Au3
1.0
4.401 0.000 0.000
0.000 4.401 0.000
0.000 0.000 10.614
La Be Ga Au
2 1 4 3
Cartesian
2.200 0.000 2.746
0.000 2.200 7.868
2.200 2.200 5.307
2.200 2.200 0.000
0.000 0.000 0.000
2.200 0.000 6.613
0.000 2.200 4.001
0.000 0.000 5.307
2.200 0.000 9.168
0.000 2.200 1.446
```

Properties
* density of states at the Fermi level: 6.36 states/eV/f.u.
* magnetic moment: 0.000 μB/f.u.
* ΔH_f (0 K): -0.58 eV/atom
* space group: No. 115

---

# 12
Density functional theory data (PBE-GGA) for a relaxed structure of Ca2Hg3Pd4.

```
Ca2Hg3Pd4
1.0
-0.433 -4.781 -3.492
6.609 -2.488 2.587
-3.823 -1.822 8.014
Ca Hg Pd
4 6 8
Cartesian
3.066 -2.323 2.800
-0.714 -6.768 4.309
-2.631 -3.574 5.220
4.984 -5.517 1.890
0.000 0.000 0.000
3.088 -3.634 -0.452
2.757 -5.242 4.313
-0.620 -6.239 1.050
-0.404 -3.848 2.796
2.973 -2.852 6.059
1.423 -6.633 6.382
0.713 -4.849 -1.018
0.929 -2.458 0.728
1.640 -4.242 8.128
5.178 -3.795 4.554
-2.826 -5.296 2.555
0.435 -4.052 5.493
1.918 -5.039 1.616
```

Properties
* density of states at the Fermi level: 3.62 states/eV/f.u.
* magnetic moment: 0.000 μB/f.u.
* ΔH_f (0 K): -0.49 eV/atom
* energy relative to the lowest polymorph listed for this composition: 0 meV per atom
* space group: No. 64

---

Number 7 is which compound?
Ba4Ag3Sn

---

Which formula does entry 3 have?
KRb2NaAu

---

The lowest density of states at the Fermi level belongs to which entry?
BaPr2TmO5

---

The highest density of states at the Fermi level belongs to which entry?
Pr8Dy3Y